Computed, not measured: a geometry-optimized Li2NbCuRe structure at the GGA-PBE level of DFT.

Calculated values
space group = No. 123
E_form = 37.809 kcal/mol of atoms
uncorrected energy = -4.4488 eV/atom
DOS at the Fermi energy = 6.2 states/eV per cell

POSCAR file:
```
Li2NbCuRe
1.0
4.3582 0.0000 0.0000
0.0000 4.3582 0.0000
0.0000 0.0000 4.5428
Li Nb Cu Re
2 1 1 1
direct
0.0000 0.5000 0.0000
0.5000 0.0000 0.0000
0.0000 0.0000 0.5000
0.5000 0.5000 0.5000
0.5000 0.5000 0.0000
```